# TlHgSb SCAN single point on PBEsol structure
# - total magnetization (μB per cell) = 0.00
# - formation energy without anion corrections (eV/atom) = 0.2132
data_TlHgSb
_cell_length_a 7.117
_cell_length_b 7.117
_cell_length_c 7.117
_cell_angle_alpha 90.00
_cell_angle_beta 90.00
_cell_angle_gamma 90.00
_space_group_name_H-M_alt 'F -4 3 m'
_space_group_IT_number 216
_space_group_name_Hall 'F -4 2 3'
loop_
_atom_site_label
_atom_site_type_symbol
_atom_site_fract_x
_atom_site_fract_y
_atom_site_fract_z
Tl1 Tl 0.000 0.000 0.000
Hg1 Hg 0.250 0.250 0.250
Sb1 Sb 0.250 0.250 0.750